# TlBi2Pb2

A relaxed TlBi2Pb2 crystal (PBE, Alexandria).

## Properties
- E: -3.461 eV per atom
- Magnetic moment: 0.00 μB/f.u.
- Symmetry: P4/mbm, No. 127

a = 9.060 Å, b = 9.060 Å, c = 4.138 Å
α = 90.00°, β = 90.00°, γ = 90.00°
Element x y z (fractional)
Pb  0.351  0.149  0.500
Bi  0.360  0.860  0.000
Tl  0.500  0.500  0.000
Bi  0.640  0.140  0.000
Tl  0.000  0.000  0.000
Pb  0.649  0.851  0.500
Pb  0.851  0.351  0.500
Bi  0.140  0.360  0.000
Pb  0.149  0.649  0.500
Bi  0.860  0.640  0.000